No. 1
Material: Y4TlSn
Method: DFT, GGA-PBE
State: relaxed

Summary:
Space group: C2/c (15)
Crystal system: monoclinic
Total magnetic moment, μB/f.u.: 0.0
Energy, eV per atom: -5.58

Lattice parameters (Å, degrees): 6.1447 7.4939 8.9860 101.93 109.99 90.00
Fractional coordinates of all 12 atoms:
1 Sn 0.8709 0.7500 0.0000
2 Sn 0.1291 0.2500 0.0000
3 Y 0.4467 0.9424 0.1427
4 Y 0.2733 0.6073 0.2961
5 Y 0.9772 0.8927 0.7039
6 Y 0.0228 0.1073 0.2961
7 Y 0.6961 0.4424 0.1427
8 Y 0.7267 0.3927 0.7039
9 Y 0.3039 0.5576 0.8572
10 Y 0.5533 0.0576 0.8572
11 Tl 0.5000 0.0000 0.5000
12 Tl 0.0000 0.5000 0.5000

No. 2
Material: Y2TlSn
Method: DFT, GGA-PBE
State: relaxed

Summary:
Space group: P4/mmm (123)
Crystal system: tetragonal
Total magnetic moment, μB/f.u.: 0.0
Energy, eV per atom: -5.34

Lattice parameters (Å, degrees): 4.3236 5.0033 5.0033 90.00 90.00 90.00
Fractional coordinates of all 4 atoms:
1 Sn 0.5000 0.5000 0.5000
2 Tl 0.5000 0.0000 0.0000
3 Y 0.0000 0.5000 0.0000
4 Y 0.0000 0.0000 0.5000

No. 3
Material: Y3TlSn
Method: DFT, GGA-PBE
State: relaxed

Summary:
Space group: Pm-3m (221)
Crystal system: cubic
Total magnetic moment, μB/f.u.: 0.0
Energy, eV per atom: -5.11

Lattice parameters (Å, degrees): 5.6806 5.6806 5.6806 90.00 90.00 90.00
Fractional coordinates of all 5 atoms:
1 Y 0.0000 0.5000 0.0000
2 Y 0.0000 0.0000 0.5000
3 Y 0.5000 0.0000 0.0000
4 Tl 0.5000 0.5000 0.5000
5 Sn 0.0000 0.0000 0.0000

Question: What is the total magnetic moment in the third record?
Answer: 0.0 μB/f.u.

Question: Among the records above, which one has the lowest energy?
Answer: Y4TlSn